(1)
{"formula": "CdSnPb3", "functional": "PBE-GGA", "state": "relaxed", "formation_energy_mev_per_atom": 42.5, "polymorph_energy_mev_per_atom": 5, "dos_ef_per_ev_cell": 4.90, "lattice_angstrom": [[-3.173, -7.190, -1.477], [5.894, 0.673, 0.588], [-3.782, 3.314, 7.568]], "species": ["Cd", "Cd", "Sn", "Sn", "Pb", "Pb", "Pb", "Pb", "Pb", "Pb"], "fractional_positions": [[0.530, 0.641, 0.194], [0.533, 0.422, 0.806], [0.532, 0.032, 0.000], [0.032, 0.532, 0.000], [0.031, 0.330, 0.604], [0.032, 0.734, 0.396], [0.532, 0.829, 0.608], [0.013, 0.114, 0.187], [0.531, 0.234, 0.392], [0.050, 0.949, 0.813]]}

***

(2)
{"formula": "Cd3Sn12Pb5", "functional": "PBE-GGA", "state": "relaxed", "formation_energy_mev_per_atom": 203.8, "dos_ef_per_ev_cell": 46.49, "lattice_angstrom": [[-1.991, -4.678, -14.439], [14.414, 4.804, 1.866], [-2.782, -11.627, 9.560]], "species": ["Cd", "Cd", "Cd", "Cd", "Cd", "Cd", "Cd", "Cd", "Cd", "Cd", "Cd", "Cd", "Pb", "Pb", "Pb", "Pb", "Pb", "Pb", "Pb", "Pb", "Pb", "Pb", "Pb", "Pb", "Pb", "Pb", "Pb", "Pb", "Pb", "Pb", "Pb", "Pb", "Sn", "Sn", "Sn", "Sn", "Sn", "Sn", "Sn", "Sn", "Sn", "Sn", "Sn", "Sn", "Sn", "Sn", "Sn", "Sn", "Sn", "Sn", "Sn", "Sn", "Sn", "Sn", "Sn", "Sn", "Sn", "Sn", "Sn", "Sn", "Sn", "Sn", "Sn", "Sn", "Sn", "Sn", "Sn", "Sn", "Sn", "Sn", "Sn", "Sn", "Sn", "Sn", "Sn", "Sn", "Sn", "Sn", "Sn", "Sn"], "fractional_positions": [[0.750, 0.375, 0.125], [0.875, 0.750, 0.125], [0.375, 0.750, 0.625], [0.250, 0.125, 0.375], [0.875, 0.125, 0.250], [0.375, 0.625, 0.250], [0.625, 0.375, 0.750], [0.125, 0.875, 0.750], [0.750, 0.875, 0.625], [0.625, 0.250, 0.375], [0.125, 0.250, 0.875], [0.250, 0.625, 0.875], [0.125, 0.375, 0.250], [0.000, 0.500, 0.000], [0.000, 0.000, 0.000], [0.375, 0.250, 0.125], [0.500, 0.000, 0.500], [0.500, 0.500, 0.000], [0.125, 0.750, 0.375], [0.750, 0.125, 0.875], [0.750, 0.625, 0.375], [0.375, 0.125, 0.750], [0.625, 0.875, 0.250], [0.500, 0.500, 0.500], [0.500, 0.000, 0.000], [0.000, 0.000, 0.500], [0.250, 0.375, 0.625], [0.250, 0.875, 0.125], [0.000, 0.500, 0.500], [0.875, 0.250, 0.625], [0.625, 0.750, 0.875], [0.875, 0.625, 0.750], [0.742, 0.137, 0.074], [0.332, 0.574, 0.437], [0.926, 0.363, 0.258], [0.574, 0.242, 0.137], [0.605, 0.742, 0.668], [0.926, 0.563, 0.168], [0.332, 0.758, 0.395], [0.063, 0.895, 0.137], [0.563, 0.926, 0.668], [0.742, 0.605, 0.168], [0.758, 0.426, 0.363], [0.832, 0.937, 0.074], [0.137, 0.742, 0.574], [0.363, 0.437, 0.105], [0.105, 0.937, 0.363], [0.395, 0.137, 0.563], [0.105, 0.168, 0.242], [0.426, 0.668, 0.063], [0.832, 0.895, 0.258], [0.137, 0.395, 0.063], [0.363, 0.926, 0.758], [0.563, 0.637, 0.395], [0.937, 0.832, 0.574], [0.758, 0.332, 0.895], [0.437, 0.363, 0.605], [0.063, 0.168, 0.426], [0.242, 0.668, 0.105], [0.168, 0.105, 0.742], [0.637, 0.074, 0.242], [0.863, 0.605, 0.937], [0.574, 0.332, 0.937], [0.605, 0.863, 0.437], [0.895, 0.832, 0.758], [0.895, 0.063, 0.637], [0.863, 0.258, 0.426], [0.168, 0.063, 0.926], [0.637, 0.563, 0.895], [0.437, 0.074, 0.332], [0.258, 0.395, 0.832], [0.242, 0.574, 0.637], [0.937, 0.105, 0.863], [0.668, 0.242, 0.605], [0.426, 0.758, 0.863], [0.074, 0.437, 0.832], [0.395, 0.258, 0.332], [0.074, 0.637, 0.742], [0.668, 0.426, 0.563], [0.258, 0.863, 0.926]]}

***

(3)
{"formula": "Cd2Sn2Pb5", "functional": "PBE-GGA", "state": "relaxed", "formation_energy_mev_per_atom": 89.6, "polymorph_energy_mev_per_atom": 51, "dos_ef_per_ev_cell": 8.99, "lattice_angstrom": [[8.163, 0.000, 0.000], [0.000, 7.968, 0.000], [0.000, -3.984, 8.370]], "species": ["Cd", "Cd", "Cd", "Cd", "Sn", "Sn", "Sn", "Sn", "Pb", "Pb", "Pb", "Pb", "Pb", "Pb", "Pb", "Pb", "Pb", "Pb"], "fractional_positions": [[0.634, 0.867, 0.000], [0.366, 0.133, 0.000], [0.134, 0.633, 0.000], [0.866, 0.367, 0.000], [0.000, 0.205, 0.409], [0.500, 0.705, 0.409], [0.000, 0.795, 0.591], [0.500, 0.295, 0.591], [0.000, 0.000, 0.000], [0.500, 0.500, 0.000], [0.837, 0.799, 0.276], [0.163, 0.477, 0.276], [0.337, 0.977, 0.276], [0.663, 0.299, 0.276], [0.163, 0.201, 0.724], [0.837, 0.523, 0.724], [0.663, 0.023, 0.724], [0.337, 0.701, 0.724]]}

***

(4)
{"formula": "CdSn2Pb2", "functional": "PBE-GGA", "state": "relaxed", "formation_energy_mev_per_atom": 133.2, "polymorph_energy_mev_per_atom": 66, "dos_ef_per_ev_cell": 3.01, "lattice_angstrom": [[4.397, 0.000, 0.000], [0.000, 4.397, 0.000], [2.198, 2.198, 8.194]], "species": ["Pb", "Pb", "Sn", "Sn", "Cd"], "fractional_positions": [[0.398, 0.398, 0.204], [0.602, 0.602, 0.796], [0.750, 0.250, 0.500], [0.250, 0.750, 0.500], [0.000, 0.000, 0.000]]}

***

(5)
{"formula": "Cd8Sn2Pb", "functional": "PBE-GGA", "state": "relaxed", "formation_energy_mev_per_atom": 119.0, "dos_ef_per_ev_cell": 4.75, "lattice_angstrom": [[5.204, 0.250, -0.428], [-1.203, 7.237, -5.088], [0.341, -1.004, 8.865]], "species": ["Cd", "Cd", "Cd", "Cd", "Cd", "Cd", "Cd", "Cd", "Sn", "Sn", "Pb"], "fractional_positions": [[0.913, 0.893, 0.697], [0.913, 0.697, 0.893], [0.271, 0.588, 0.588], [0.500, 0.331, 0.669], [0.500, 0.669, 0.331], [0.729, 0.412, 0.412], [0.087, 0.303, 0.107], [0.087, 0.107, 0.303], [0.000, 0.742, 0.258], [0.000, 0.258, 0.742], [0.500, 0.000, 0.000]]}

***

(6)
{"formula": "Cd2Sn3Pb8", "functional": "PBE-GGA", "state": "relaxed", "formation_energy_mev_per_atom": 109.6, "dos_ef_per_ev_cell": 6.30, "lattice_angstrom": [[7.466, 0.000, 1.257], [0.000, 9.045, 0.000], [-1.894, -4.523, 5.761]], "species": ["Cd", "Cd", "Sn", "Sn", "Sn", "Pb", "Pb", "Pb", "Pb", "Pb", "Pb", "Pb", "Pb"], "fractional_positions": [[0.254, 0.178, 0.356], [0.746, 0.822, 0.644], [0.500, 0.000, 0.000], [0.000, 0.199, 0.000], [0.000, 0.801, 0.000], [0.834, 0.584, 0.168], [0.166, 0.416, 0.832], [0.831, 0.187, 0.375], [0.169, 0.813, 0.625], [0.576, 0.562, 0.752], [0.576, 0.191, 0.752], [0.424, 0.809, 0.248], [0.424, 0.438, 0.248]]}

***

(7)
{"formula": "CdSn3Pb6", "functional": "PBE-GGA", "state": "relaxed", "formation_energy_mev_per_atom": 63.5, "polymorph_energy_mev_per_atom": 0, "dos_ef_per_ev_cell": 10.03, "lattice_angstrom": [[-0.863, -3.269, 0.158], [12.275, -3.282, -0.878], [-3.934, 1.730, 14.276]], "species": ["Cd", "Cd", "Sn", "Sn", "Sn", "Sn", "Sn", "Sn", "Pb", "Pb", "Pb", "Pb", "Pb", "Pb", "Pb", "Pb", "Pb", "Pb", "Pb", "Pb"], "fractional_positions": [[0.750, 0.075, 0.695], [0.250, 0.925, 0.305], [0.750, 0.546, 0.921], [0.250, 0.454, 0.079], [0.750, 0.614, 0.504], [0.250, 0.386, 0.496], [0.750, 0.240, 0.111], [0.250, 0.760, 0.889], [0.750, 0.559, 0.702], [0.250, 0.441, 0.298], [0.750, 0.961, 0.087], [0.250, 0.039, 0.913], [0.750, 0.278, 0.896], [0.250, 0.722, 0.104], [0.750, 0.692, 0.309], [0.250, 0.308, 0.691], [0.750, 0.122, 0.487], [0.250, 0.878, 0.513], [0.750, 0.835, 0.714], [0.250, 0.165, 0.286]]}

***

(8)
{"formula": "CdSnPb4", "functional": "PBE-GGA", "state": "relaxed", "formation_energy_mev_per_atom": 69.6, "polymorph_energy_mev_per_atom": 9, "dos_ef_per_ev_cell": 1.81, "lattice_angstrom": [[-4.499, -2.474, 0.904], [2.138, -2.388, 4.111], [-2.174, 5.547, 4.359]], "species": ["Cd", "Sn", "Pb", "Pb", "Pb", "Pb"], "fractional_positions": [[0.501, 0.503, 0.002], [0.001, 0.003, 0.502], [0.501, 0.003, 0.758], [0.501, 0.003, 0.246], [0.001, 0.503, 0.246], [0.001, 0.502, 0.758]]}

***

(9)
{"formula": "Cd2Sn2Pb7", "functional": "PBE-GGA", "state": "relaxed", "formation_energy_mev_per_atom": 64.9, "polymorph_energy_mev_per_atom": 0, "dos_ef_per_ev_cell": 6.08, "lattice_angstrom": [[-4.741, -1.578, 4.312], [4.683, -3.195, 3.380], [1.501, 7.538, 2.096]], "species": ["Cd", "Cd", "Sn", "Sn", "Pb", "Pb", "Pb", "Pb", "Pb", "Pb", "Pb"], "fractional_positions": [[0.290, 0.710, 0.500], [0.710, 0.290, 0.500], [0.608, 0.608, 0.815], [0.392, 0.392, 0.185], [0.878, 0.486, 0.179], [0.514, 0.122, 0.821], [0.122, 0.514, 0.821], [0.486, 0.878, 0.179], [0.000, 0.000, 0.000], [0.828, 0.828, 0.555], [0.172, 0.172, 0.445]]}

***

(10)
{"formula": "CdSn6Pb2", "functional": "PBE-GGA", "state": "relaxed", "formation_energy_mev_per_atom": 65.7, "polymorph_energy_mev_per_atom": 0, "dos_ef_per_ev_cell": 5.72, "lattice_angstrom": [[3.256, 0.000, 0.001], [0.000, 8.222, 4.848], [-0.002, 0.120, 9.544]], "species": ["Cd", "Sn", "Sn", "Sn", "Sn", "Sn", "Sn", "Pb", "Pb"], "fractional_positions": [[0.000, 0.000, 0.000], [0.500, 0.667, 0.000], [0.500, 0.000, 0.333], [0.500, 0.333, 0.000], [0.500, 0.672, 0.328], [0.500, 0.000, 0.667], [0.500, 0.328, 0.672], [0.000, 0.334, 0.334], [0.000, 0.666, 0.666]]}

***

(11)
{"formula": "CdSn3Pb6", "functional": "PBE-GGA", "state": "relaxed", "formation_energy_mev_per_atom": 114.5, "polymorph_energy_mev_per_atom": 51, "dos_ef_per_ev_cell": 10.55, "lattice_angstrom": [[7.167, 0.000, 0.000], [0.000, 10.257, -1.677], [0.000, -3.923, 9.624]], "species": ["Cd", "Cd", "Sn", "Sn", "Sn", "Sn", "Sn", "Sn", "Pb", "Pb", "Pb", "Pb", "Pb", "Pb", "Pb", "Pb", "Pb", "Pb", "Pb", "Pb"], "fractional_positions": [[0.048, 0.139, 0.861], [0.548, 0.861, 0.139], [0.400, 0.953, 0.714], [0.900, 0.714, 0.953], [0.460, 0.387, 0.613], [0.960, 0.613, 0.387], [0.900, 0.047, 0.286], [0.400, 0.286, 0.047], [0.184, 0.661, 0.681], [0.684, 0.681, 0.661], [0.188, 0.454, 0.891], [0.688, 0.891, 0.454], [0.219, 0.967, 0.033], [0.714, 0.242, 0.758], [0.214, 0.758, 0.242], [0.719, 0.033, 0.967], [0.188, 0.109, 0.546], [0.688, 0.546, 0.109], [0.184, 0.319, 0.339], [0.684, 0.339, 0.319]]}

***

(12)
{"formula": "CdSn2Pb4", "functional": "PBE-GGA", "state": "relaxed", "formation_energy_mev_per_atom": 94.2, "polymorph_energy_mev_per_atom": 0, "dos_ef_per_ev_cell": 3.33, "lattice_angstrom": [[-6.269, -0.675, -3.403], [-0.441, -1.693, -6.395], [-2.839, -5.880, -1.146]], "species": ["Pb", "Pb", "Pb", "Pb", "Sn", "Sn", "Cd"], "fractional_positions": [[0.532, 0.448, 0.975], [0.468, 0.025, 0.552], [0.955, 0.025, 0.552], [0.045, 0.448, 0.975], [0.500, 0.560, 0.440], [0.000, 0.533, 0.467], [0.000, 0.961, 0.039]]}

***

Electronic total energy, record by record: -3.166 -3.262 -3.063 -3.134 -1.611 -3.237 -3.454 -3.222 -3.189 -3.529 -3.403 -3.299 eV/atom